First-principles (GGA-PBE) data for crystalline LaCl3F at its relaxed geometry, as listed in the Alexandria database.

The uncorrected formation energy is -1.678 eV per atom. Its total magnetization is 1.0 μB/cell. As for the crystal system: cubic. The value obtained for the theoretical density is 2.54 g/cm3. The total energy is -20.73 eV for the cell shown.

It has space group Pm-3m (No. 221), with a = 5.567 Å, b = 5.567 Å, c = 5.567 Å, α = 90.00°, β = 90.00° and γ = 90.00°. Symmetry generates all atoms from La at (0.000, 0.000, 0.000), Cl at (0.000, 0.000, 0.500) and F at (0.500, 0.500, 0.500).


First-principles (GGA-PBE) data for crystalline LaClF3 at its relaxed geometry, as listed in the Alexandria database.

The uncorrected formation energy is -2.984 eV per atom. Its total magnetization is 1.0 μB/cell. As for the crystal system: cubic. The value obtained for the theoretical density is 3.68 g/cm3. The total energy is -27.31 eV for the cell shown.

It has space group Pm-3m (No. 221), with a = 4.707 Å, b = 4.707 Å, c = 4.707 Å, α = 90.00°, β = 90.00° and γ = 90.00°. Symmetry generates all atoms from La at (0.000, 0.000, 0.000), Cl at (0.500, 0.500, 0.500) and F at (0.000, 0.000, 0.500).


First-principles (GGA-PBE) data for crystalline LaCl3F at its relaxed geometry, as listed in the Alexandria database.

The uncorrected formation energy is -1.125 eV per atom. Its total magnetization is 1.0 μB/cell. As for the crystal system: cubic. The value obtained for the theoretical density is 4.03 g/cm3. The total energy is -17.96 eV for the cell shown.

It has space group Pm-3m (No. 221), with a = 4.776 Å, b = 4.776 Å, c = 4.776 Å, α = 90.00°, β = 90.00° and γ = 90.00°. Symmetry generates all atoms from La at (0.000, 0.000, 0.000), Cl at (0.000, 0.500, 0.500) and F at (0.500, 0.500, 0.500).


First-principles (GGA-PBE) data for crystalline LaCl2F at its relaxed geometry, as listed in the Alexandria database.

The uncorrected formation energy is -1.904 eV per atom. Its total magnetization is 0.0 μB/cell. As for the crystal system: trigonal. The value obtained for the theoretical density is 2.98 g/cm3. The total energy is -54.32 eV for the cell shown.

It has space group R-3m (No. 166, hexagonal axes), with a = 4.5734 Å, b = 4.5734 Å, c = 21.1146 Å, α = 90.00°, β = 90.00° and γ = 120.00°. Symmetry generates all atoms from La at (0.0000, 0.0000, 0.0000), Cl at (0.0000, 0.0000, 0.3834) and F at (0.0000, 0.0000, 0.5000).


First-principles (GGA-PBE) data for crystalline La3ClF at its relaxed geometry, as listed in the Alexandria database.

The uncorrected formation energy is -1.047 eV per atom. Its total magnetization is 0.0 μB/cell. As for the crystal system: cubic. The value obtained for the theoretical density is 5.89 g/cm3. The total energy is -23.74 eV for the cell shown.

It has space group Pm-3m (No. 221), with a = 5.101 Å, b = 5.101 Å, c = 5.101 Å, α = 90.00°, β = 90.00° and γ = 90.00°. Symmetry generates all atoms from La at (0.000, 0.000, 0.500), Cl at (0.500, 0.500, 0.500) and F at (0.000, 0.000, 0.000).


First-principles (GGA-PBE) data for crystalline La2Cl3F at its relaxed geometry, as listed in the Alexandria database.

The uncorrected formation energy is -2.458 eV per atom. Its total magnetization is 4.1 μB/cell. As for the crystal system: monoclinic. The value obtained for the theoretical density is 4.13 g/cm3. The total energy is -128.04 eV for the cell shown.

It has space group C2/m (No. 12), with a = 15.904 Å, b = 4.197 Å, c = 10.752 Å, α = 90.00°, β = 115.35° and γ = 90.00°. Symmetry generates all atoms from La at (0.086, 0.000, 0.451), La at (0.149, 0.500, 0.828), Cl at (0.049, 0.500, 0.242), Cl at (0.148, 0.000, 0.014), Cl at (0.224, 0.500, 0.616) and F at (0.093, 0.000, 0.695).


What is the uncorrected formation energy in the fourth record? -1.904 eV per atom


Which of these has the highest total magnetization? La2Cl3F


Look up the theoretical density of the second one. 3.68 g/cm3